Here is an optimized crystal structure of LaMgTc4 from Alexandria. Energies are from GGA-PBEsol.

## Properties
ΔE_f: 5.49 kcal/mol of atoms
V: 17.71 A^3/atom
spin magnetization: 0.00 μB/f.u.
energy: -8.45 eV per atom

abc: 5.316 5.316 5.316
angles: 60.00 60.00 60.00
Fractional positions:
1 La 0.000 0.000 0.000
2 Mg 0.750 0.750 0.750
3 Tc 0.376 0.376 0.376
4 Tc 0.376 0.376 0.873
5 Tc 0.376 0.873 0.376
6 Tc 0.873 0.376 0.376

Here is an optimized crystal structure of Rb2ReSnSb from Alexandria. Energies are from GGA-PBEsol.

## Properties
uncorrected formation energy: 1123 meV/atom
V: 44.13 A^3/atom
spin magnetization: 1.41 μB/f.u.
energy: -3.72 eV per atom

abc: 6.647 6.647 4.994
angles: 90.00 90.00 90.00
Fractional positions:
1 Rb 0.000 0.500 0.000
2 Rb 0.500 0.000 0.000
3 Re 0.000 0.000 0.500
4 Sn 0.500 0.500 0.500
5 Sb 0.000 0.000 0.000

Here is an optimized crystal structure of Sc2CrIn from Alexandria. Energies are from GGA-PBEsol.

## Properties
ΔE_f: -0.57 kcal/mol of atoms
V: 19.92 A^3/atom
spin magnetization: 3.28 μB/f.u.
energy: -6.63 eV per atom

abc: 4.744 4.744 3.541
angles: 90.00 90.00 90.00
Fractional positions:
1 Sc 0.000 0.500 0.000
2 Sc 0.500 0.000 0.000
3 Cr 0.000 0.000 0.500
4 In 0.500 0.500 0.500